# 1
The following is a GGA-PBE calculation of a relaxed Mo2Ru2Br crystal, from the Alexandria database.

a = 7.563 Å, b = 7.563 Å, c = 2.945 Å
α = 90.00°, β = 90.00°, γ = 90.00°
Fractional positions:
Br: 0.500 0.500 0.000
Br: 0.000 0.000 0.000
Ru: 0.366 0.134 0.500
Ru: 0.866 0.366 0.500
Ru: 0.634 0.866 0.500
Ru: 0.134 0.634 0.500
Mo: 0.152 0.348 0.000
Mo: 0.848 0.652 0.000
Mo: 0.652 0.152 0.000
Mo: 0.348 0.848 0.000

Calculated values
Its energy above the most stable polymorph in this dataset is 0.000 eV per atom. Its raw formation energy is 0.4626 eV/atom.


# 2
The following is a GGA-PBE calculation of a relaxed MoRu2Br crystal, from the Alexandria database.

a = 4.674 Å, b = 4.674 Å, c = 2.919 Å
α = 90.00°, β = 90.00°, γ = 101.25°
Fractional positions:
Ru: 0.500 0.500 0.000
Ru: 0.000 0.000 0.000
Br: 0.500 0.000 0.500
Mo: 0.000 0.500 0.500

Calculated values
Its energy above the most stable polymorph in this dataset is 0.371 eV per atom. Its raw formation energy is 0.8646 eV/atom.


# 3
The following is a GGA-PBE calculation of a relaxed MoRu2Br crystal, from the Alexandria database.

a = 5.273 Å, b = 5.273 Å, c = 5.273 Å
α = 147.52°, β = 128.95°, γ = 61.82°
Fractional positions:
Mo: 0.250 0.750 0.500
Br: 0.750 0.250 0.500
Ru: 0.516 0.516 0.000
Ru: 0.984 0.984 0.000

Calculated values
Its energy above the most stable polymorph in this dataset is 0.194 eV per atom. Its raw formation energy is 0.6873 eV/atom.